Record 1
BeNiTe2: PBEsol geometry, SCAN.

POSCAR file:
```
BeNiTe2
1.0
5.6108 0.0000 0.0000
0.0000 5.6108 0.0000
0.0000 0.0000 11.2270
Be Ni Te
4 4 8
Direct
0.0000 0.0000 0.0000
0.0000 0.5000 0.2500
0.5000 0.0000 0.7500
0.5000 0.5000 0.5000
0.0000 0.0000 0.5000
0.0000 0.5000 0.7500
0.5000 0.0000 0.2500
0.5000 0.5000 0.0000
0.2459 0.2500 0.1250
0.2500 0.7459 0.3750
0.2500 0.7541 0.8750
0.2541 0.2500 0.6250
0.7459 0.7500 0.6250
0.7500 0.2459 0.8750
0.7500 0.2541 0.3750
0.7541 0.7500 0.1250
```

* symmetry: I-42d
* volume: 353.4 Å³ per cell
* E_tot: -23.918 eV/atom
* formation energy (no corrections): -0.1611 eV/atom
* DOS at the Fermi energy: 0.5677 states/eV per atom

Record 2
Ti2Be2Ni: PBEsol geometry, SCAN.

POSCAR file:
```
Ti2Be2Ni
1.0
5.9204 0.0000 0.0000
0.0000 5.9204 0.0000
0.0000 0.0000 3.3619
Ti Be Ni
4 4 2
Direct
0.1716 0.3284 0.0000
0.3284 0.8284 0.0000
0.6716 0.1716 0.0000
0.8284 0.6716 0.0000
0.1280 0.6280 0.5000
0.3720 0.1280 0.5000
0.6280 0.8720 0.5000
0.8720 0.3720 0.5000
0.0000 0.0000 0.5000
0.5000 0.5000 0.5000
```

* symmetry: P4/mbm
* volume: 117.8 Å³ per cell
* ΔH_f (0 K): -0.262 eV per atom
* E_tot: -11.650 eV/atom
* DOS at the Fermi energy: 0.6927 states/eV per atom

Record 3
TiBe2Ni2: PBEsol geometry, SCAN.

POSCAR file:
```
TiBe2Ni2
1.0
6.4376 0.0000 0.0000
0.0000 6.4376 0.0000
0.0000 0.0000 2.4651
Ti Be Ni
2 4 4
Direct
0.0000 0.0000 0.0000
0.5000 0.5000 0.0000
0.1182 0.3818 0.0000
0.3818 0.8818 0.0000
0.6182 0.1182 0.0000
0.8818 0.6182 0.0000
0.1751 0.6751 0.5000
0.3249 0.1751 0.5000
0.6751 0.8249 0.5000
0.8249 0.3249 0.5000
```

* symmetry: P4/mbm
* volume: 102.2 Å³ per cell
* ΔH_f (0 K): -0.425 eV per atom
* E_tot: -11.842 eV/atom
* DOS at the Fermi energy: 0.6437 states/eV per atom

> Look up the DOS at the Fermi energy of the first one.

0.5677 states/eV per atom

> Which of these has the highest volume?

BeNiTe2

> Which value of E_tot does entry 3 give?

-11.842 eV/atom